VASP calculation (SCAN) on ReTc2Te at its PBEsol-relaxed geometry.

```
data_ReTc2Te
_cell_length_a 2.9505
_cell_length_b 3.8519
_cell_length_c 5.5752
_cell_angle_alpha 90.00
_cell_angle_beta 90.00
_cell_angle_gamma 90.00
_space_group_name_H-M_alt 'P 1'
_space_group_IT_number 1
loop_
_space_group_symop_operation_xyz
'x,y,z'
loop_
_atom_site_label
_atom_site_type_symbol
_atom_site_fract_x
_atom_site_fract_y
_atom_site_fract_z
_atom_site_occupancy
Re1 Re 0.0000 0.0000 0.0000 1
Tc1 Tc 0.5000 0.5000 0.2278 1
Tc2 Tc 0.5000 0.5000 0.7722 1
Te1 Te 0.0000 0.0000 0.5000 1
```

Values from the calculation:
M_tot: 0.001 Bohr magnetons per cell
formation energy without anion corrections: 501 meV per atom

VASP calculation (SCAN) on Re3TcTe at its PBEsol-relaxed geometry.

```
data_Re3TcTe
_cell_length_a 4.6498
_cell_length_b 4.6498
_cell_length_c 4.6498
_cell_angle_alpha 90.00
_cell_angle_beta 90.00
_cell_angle_gamma 90.00
_space_group_name_H-M_alt 'P 1'
_space_group_IT_number 1
loop_
_space_group_symop_operation_xyz
'x,y,z'
loop_
_atom_site_label
_atom_site_type_symbol
_atom_site_fract_x
_atom_site_fract_y
_atom_site_fract_z
_atom_site_occupancy
Re1 Re 0.0000 0.0000 0.5000 1
Re2 Re 0.0000 0.5000 0.0000 1
Re3 Re 0.5000 0.0000 0.0000 1
Tc1 Tc 0.0000 0.0000 0.0000 1
Te1 Te 0.5000 0.5000 0.5000 1
```

Values from the calculation:
M_tot: 0.289 Bohr magnetons per cell
formation energy without anion corrections: 2173 meV per atom

VASP calculation (SCAN) on ReTc2Te at its PBEsol-relaxed geometry.

```
data_ReTc2Te
_cell_length_a 9.3372
_cell_length_b 2.9701
_cell_length_c 4.6046
_cell_angle_alpha 90.00
_cell_angle_beta 97.33
_cell_angle_gamma 90.00
_space_group_name_H-M_alt 'P 1'
_space_group_IT_number 1
loop_
_space_group_symop_operation_xyz
'x,y,z'
loop_
_atom_site_label
_atom_site_type_symbol
_atom_site_fract_x
_atom_site_fract_y
_atom_site_fract_z
_atom_site_occupancy
Re1 Re 0.0000 0.0000 0.0000 1
Re2 Re 0.5000 0.5000 0.0000 1
Tc1 Tc 0.2370 0.5000 0.1929 1
Tc2 Tc 0.4691 0.0000 0.4486 1
Tc3 Tc 0.7370 0.0000 0.1929 1
Tc4 Tc 0.9691 0.5000 0.4486 1
Te1 Te 0.2321 0.0000 0.6960 1
Te2 Te 0.7321 0.5000 0.6960 1
```

Values from the calculation:
M_tot: 0.000 Bohr magnetons per cell
formation energy without anion corrections: 430 meV per atom

VASP calculation (SCAN) on ReTcTe2 at its PBEsol-relaxed geometry.

```
data_ReTcTe2
_cell_length_a 3.2027
_cell_length_b 5.4415
_cell_length_c 8.6031
_cell_angle_alpha 90.00
_cell_angle_beta 90.00
_cell_angle_gamma 90.00
_space_group_name_H-M_alt 'P 1'
_space_group_IT_number 1
loop_
_space_group_symop_operation_xyz
'x,y,z'
loop_
_atom_site_label
_atom_site_type_symbol
_atom_site_fract_x
_atom_site_fract_y
_atom_site_fract_z
_atom_site_occupancy
Re1 Re 0.0000 0.0000 0.0000 1
Re2 Re 0.5000 0.5000 0.5000 1
Tc1 Tc 0.0000 0.0000 0.5000 1
Tc2 Tc 0.5000 0.5000 0.0000 1
Te1 Te 0.0000 0.5000 0.2487 1
Te2 Te 0.0000 0.5000 0.7513 1
Te3 Te 0.5000 0.0000 0.2513 1
Te4 Te 0.5000 0.0000 0.7487 1
```

Values from the calculation:
M_tot: 0.001 Bohr magnetons per cell
formation energy without anion corrections: 1199 meV per atom

Question: Number 2 is which compound?
Answer: Re3TcTe